The following is a GGA-PBEsol calculation of an optimized crystal structure of CdRe2Mo, from Alexandria via LeMat-Bulk.

Cell lengths 4.8846, 2.7880, 4.8862 Å; angles 90.00, 111.09, 90.00 degrees
Space group P2/m (No. 10)
Asymmetric unit:
Cd1 0.0000 0.0000 0.0000 [1 per cell]
Re1 0.0000 0.5000 0.5000 [1 per cell]
Re2 0.5000 0.0000 0.5000 [1 per cell]
Mo1 0.5000 0.5000 0.0000 [1 per cell]

Summary:
Total DFT energy (no corrections) in eV/atom: -9.368
Magnetization in μB/f.u.: 0.000
Theoretical density in g/cm3: 15.5
Energy relative to the elements in eV per formula unit: 2.16
Crystal system: monoclinic